The following is a DFT calculation (PBE with a Hubbard U) of a relaxed ThFe3B4O12 crystal.

POSCAR file:
```
ThFe3B4O12
1.0
4.8581 2.8048 2.6037
-4.8581 2.8048 2.6037
0.0000 -5.6096 2.6037
Th Fe B O
1 3 4 12
Cartesian
0.0000 0.0000 0.0000 Th
-2.6908 -0.9491 2.6037 Fe
2.1673 -1.8557 2.6037 Fe
0.5234 2.8048 2.6037 Fe
-2.1722 -3.7623 3.9056 B
0.0000 0.0000 3.9056 B
-2.1722 3.7623 3.9056 B
4.3443 0.0000 3.9056 B
-2.9150 -2.5969 3.8256 O
-3.9942 0.0000 3.9056 O
-0.7915 -3.8229 3.9856 O
-1.3901 0.0000 3.9056 O
-2.9150 2.5969 3.9856 O
1.9971 -3.4591 3.9056 O
0.6951 -1.2039 3.9056 O
-0.7915 3.8229 3.8256 O
0.6951 1.2039 3.9056 O
3.7065 -1.2260 3.8256 O
1.9971 3.4591 3.9056 O
3.7065 1.2260 3.9856 O
```

Results
As for the space group: No. 155. The uncorrected energy is -155.88 eV per cell. The value obtained for the total magnetic moment is 0.7000 μB per atom.